The following is a DFT calculation (PBE-GGA) of a geometry-optimized Li2CaSc2 structure.

Unit cell a=8.7592 b=8.7592 c=3.3094 alpha=90.00 beta=90.00 gamma=90.00
Space group P4/mbm (No. 127)
Symmetry-distinct sites (fractional):
Li (0.1572, 0.3428, 0.0000) x4
Ca (0.0000, 0.0000, 0.0000) x2
Sc (0.1347, 0.6347, 0.5000) x4

The following is a DFT calculation (PBE-GGA) of a geometry-optimized LiCa2Sc structure.

Unit cell a=8.5659 b=8.5659 c=6.7596 alpha=90.00 beta=90.00 gamma=90.00
Space group I-42d (No. 122)
Symmetry-distinct sites (fractional):
Li (0.0000, 0.0000, 0.0000) x4
Ca (0.2115, 0.7500, 0.1250) x8
Sc (0.0000, 0.0000, 0.5000) x4

The following is a DFT calculation (PBE-GGA) of a geometry-optimized LiCa2Sc structure.

Unit cell a=7.9813 b=7.9813 c=7.9813 alpha=90.00 beta=90.00 gamma=90.00
Space group Fm-3m (No. 225)
Symmetry-distinct sites (fractional):
Li (0.0000, 0.0000, 0.0000) x4
Ca (0.2500, 0.2500, 0.2500) x8
Sc (0.0000, 0.0000, 0.5000) x4

The following is a DFT calculation (PBE-GGA) of a geometry-optimized Li2CaSc structure.

Unit cell a=3.3899 b=5.0299 c=6.3860 alpha=90.00 beta=105.33 gamma=90.00
Space group Pm (No. 6)
Symmetry-distinct sites (fractional):
Li (0.0000, 0.0000, 0.0000) x1
Li (0.1248, 0.5000, 0.2663) x1
Ca (0.3855, 0.5000, 0.7771) x1
Sc (0.7159, 0.0000, 0.4426) x1

The following is a DFT calculation (PBE-GGA) of a geometry-optimized Li2CaSc structure.

Unit cell a=8.0664 b=8.0664 c=6.4555 alpha=90.00 beta=90.00 gamma=90.00
Space group I-42d (No. 122)
Symmetry-distinct sites (fractional):
Li (0.2362, 0.7500, 0.1250) x8
Ca (0.0000, 0.0000, 0.5000) x4
Sc (0.0000, 0.0000, 0.0000) x4

The following is a DFT calculation (PBE-GGA) of a geometry-optimized LiCaSc2 structure.

Unit cell a=3.6957 b=5.3398 c=10.8059 alpha=90.00 beta=90.00 gamma=90.00
Space group Cmmm (No. 65)
Symmetry-distinct sites (fractional):
Li (0.0000, 0.0000, 0.0000) x2
Ca (0.0000, 0.0000, 0.5000) x2
Sc (0.0000, 0.5000, 0.2293) x4

Number 1: E -3.4428 eV/atom, spin magnetization 2.4 μB/cell, formation energy 0.256 eV/atom. Number 2: E -2.6832 eV/atom, spin magnetization 0.0 μB/cell, formation energy 0.379 eV/atom. Number 3: E -2.8167 eV/atom, spin magnetization 0.0 μB/cell, formation energy 0.245 eV/atom. Number 4: E -2.8406 eV/atom, spin magnetization 0.0 μB/cell, formation energy 0.200 eV/atom. Number 5: E -2.6533 eV/atom, spin magnetization 0.0 μB/cell, formation energy 0.387 eV/atom. Number 6: E -3.8745 eV/atom, spin magnetization 0.0 μB/cell, formation energy 0.270 eV/atom.